No. 1
Density functional theory data (PBE) for an optimized crystal structure of Na4Mg2In.

Calculated total energy (eV/atom): -1.314
Space-group type: I4/mmm, No. 139
Formation energy (eV per atom): 0.287

Lattice parameters (Å, degrees): 5.8838 5.8838 9.0069 70.94 70.94 90.00
Last column: nearest neighbours and their distance in Å.
Fractional positions:
Na1 0.1940 0.1940 0.6119  1 In 3.10, 1 Mg 3.32
In1 0.0000 0.0000 0.0000  6 Na 2.94-3.10
Na2 0.0000 0.5000 0.0000  2 In 2.94
Na3 0.5000 0.0000 0.0000  2 In 2.94
Mg1 0.4016 0.4016 0.1967  1 Mg 3.14, 5 Na 3.32-3.34
Mg2 0.5984 0.5984 0.8033  1 Mg 3.14, 5 Na 3.32-3.34
Na4 0.8060 0.8060 0.3881  1 In 3.10, 1 Mg 3.32

No. 2
Density functional theory data (PBE) for an optimized crystal structure of KRb2In3Hg12.

Calculated total energy (eV/atom): -0.835
Space-group type: R-3m, No. 166
Formation energy (eV per atom): -0.009

Lattice parameters (Å, degrees): 9.9792 9.9792 9.9792 62.84 62.84 62.84
Last column: nearest neighbours and their distance in Å.
Fractional positions:
Hg1 0.6716 0.1438 0.6716  2 In 2.93, 2 Hg 3.18
Hg2 0.1438 0.6716 0.6716  2 In 2.93, 2 Hg 3.18
In1 0.5000 0.0000 0.0000  6 Hg 2.93-3.08
Hg3 0.1819 0.4958 0.1819  1 In 3.08, 2 Hg 3.27
Hg4 0.1819 0.1819 0.4958  1 In 3.08, 2 Hg 3.27
Hg5 0.8181 0.5042 0.8181  1 In 3.08, 2 Hg 3.27
Hg6 0.4958 0.1819 0.1819  1 In 3.08, 2 Hg 3.27
In2 0.0000 0.0000 0.5000  6 Hg 2.93-3.08
Hg7 0.3284 0.8562 0.3284  2 In 2.93, 2 Hg 3.18
K1 0.0000 0.0000 0.0000  6 Hg 4.27
Hg8 0.5042 0.8181 0.8181  1 In 3.08, 2 Hg 3.27
Hg9 0.3284 0.3284 0.8562  2 In 2.93, 2 Hg 3.18
Rb1 0.5852 0.5852 0.5852  9 Hg 3.60-3.83
Hg10 0.6716 0.6716 0.1438  2 In 2.93, 2 Hg 3.18
Rb2 0.4148 0.4148 0.4148  9 Hg 3.60-3.83
Hg11 0.8562 0.3284 0.3284  2 In 2.93, 2 Hg 3.18
Hg12 0.8181 0.8181 0.5042  1 In 3.08, 2 Hg 3.27
In3 0.0000 0.5000 0.0000  6 Hg 2.93-3.08

No. 3
Density functional theory data (PBE) for an optimized crystal structure of AlVCo3.

Calculated total energy (eV/atom): -5.817
ΔE to the lowest computed polymorph (eV per formula unit): 5.219
Space-group type: Pm-3m, No. 221
Formation energy (eV per atom): 1.019

Lattice parameters (Å, degrees): 4.1597 4.1597 4.1597 90.00 90.00 90.00
Last column: nearest neighbours and their distance in Å.
Fractional positions:
Co1 0.0000 0.0000 0.5000  2 Al 2.08
Co2 0.0000 0.5000 0.0000  2 Al 2.08
Co3 0.5000 0.0000 0.0000  2 Al 2.08
Al1 0.0000 0.0000 0.0000  6 Co 2.08
V1 0.5000 0.5000 0.5000  12 Co 2.94

No. 4
Density functional theory data (PBE) for an optimized crystal structure of CeErSb.

Raw formation energy (meV/atom): -406
Calculated total energy (eV/atom): -5.279
Space-group type: P3m1, No. 156

Lattice parameters (Å, degrees): 3.9823 5.1097 5.1097 120.00 90.00 90.00
Last column: nearest neighbours and their distance in Å.
Fractional positions:
Ce1 0.0116 0.0000 0.0000  6 Sb 3.46-3.67, 6 Er 3.53-3.59
Sb1 0.4646 0.3333 0.6667  3 Er 2.96
Er1 0.5238 0.6667 0.3333  3 Sb 2.96

No. 5
Density functional theory data (PBE) for an optimized crystal structure of NaC2Se.

Raw formation energy (meV/atom): 1609
Calculated total energy (eV/atom): -4.203
Space-group type: I-42d, No. 122

Lattice parameters (Å, degrees): 5.7244 5.7244 5.4422 58.27 58.27 90.00
Last column: nearest neighbours and their distance in Å.
Fractional positions:
Se1 0.0000 0.0000 0.0000  4 C 1.95
C1 0.8750 0.9566 0.7500  2 Se 1.95
C2 0.7066 0.1250 0.2500  2 Se 1.95
Na1 0.2500 0.7500 0.5000  4 C 2.55
C3 0.0434 0.6250 0.2500  2 Se 1.95
Na2 0.5000 0.5000 0.0000  4 C 2.55
Se2 0.7500 0.2500 0.5000  4 C 1.95
C4 0.3750 0.2934 0.7500  2 Se 1.95

No. 6
Density functional theory data (PBE) for an optimized crystal structure of RbCrI2.

Raw formation energy (meV/atom): -276
Calculated total energy (eV/atom): -3.699
ΔE to the lowest computed polymorph (eV per formula unit): 1.148
Space-group type: Fm-3m, No. 225

Lattice parameters (Å, degrees): 5.8601 5.8601 5.8601 60.00 60.00 60.00
Last column: nearest neighbours and their distance in Å.
Fractional positions:
Cr1 0.0000 0.0000 0.0000  8 I 3.59
I1 0.7500 0.7500 0.7500  4 Cr 3.59, 4 Rb 3.59
Rb1 0.5000 0.5000 0.5000  8 I 3.59
I2 0.2500 0.2500 0.2500  4 Rb 3.59, 4 Cr 3.59

No. 7
Density functional theory data (PBE) for an optimized crystal structure of In2AgPb2.

Calculated total energy (eV/atom): -3.060
ΔE to the lowest computed polymorph (eV per formula unit): 0.309
Space-group type: P4/mbm, No. 127
Formation energy (eV per atom): 0.089

Lattice parameters (Å, degrees): 7.4111 7.4111 5.0531 90.00 90.00 90.00
Last column: nearest neighbours and their distance in Å.
Fractional positions:
Pb1 0.3312 0.1688 0.5000  6 In 3.19-3.44, 1 Pb 3.54
Ag1 0.0000 0.0000 0.0000  4 In 2.84
In1 0.8553 0.6447 0.0000  2 Ag 2.84, 1 In 3.03
Pb2 0.1688 0.6688 0.5000  6 In 3.19-3.44, 1 Pb 3.54
In2 0.6447 0.1447 0.0000  2 Ag 2.84, 1 In 3.03
Ag2 0.5000 0.5000 0.0000  4 In 2.84
In3 0.1447 0.3553 0.0000  2 Ag 2.84, 1 In 3.03
Pb3 0.6688 0.8312 0.5000  6 In 3.19-3.44, 1 Pb 3.54
Pb4 0.8312 0.3312 0.5000  6 In 3.19-3.44, 1 Pb 3.54
In4 0.3553 0.8553 0.0000  2 Ag 2.84, 1 In 3.03

No. 8
Density functional theory data (PBE) for an optimized crystal structure of BaPbN3.

Raw formation energy (meV/atom): 1982
Calculated total energy (eV/atom): -4.139
Space-group type: Pm-3m, No. 221

Lattice parameters (Å, degrees): 4.6148 4.6148 4.6148 90.00 90.00 90.00
Last column: nearest neighbours and their distance in Å.
Fractional positions:
Ba1 0.0000 0.0000 0.0000  6 N 2.31
N1 0.5000 0.0000 0.0000  2 Ba 2.31
Pb1 0.5000 0.5000 0.5000  12 N 3.26
N2 0.0000 0.5000 0.0000  2 Ba 2.31
N3 0.0000 0.0000 0.5000  2 Ba 2.31

No. 9
Density functional theory data (PBE) for an optimized crystal structure of Li3Mg2.

Calculated total energy (eV/atom): -1.804
ΔE to the lowest computed polymorph (eV per formula unit): 0.103
Space-group type: Fdd2, No. 43
Formation energy (eV per atom): -0.017

Lattice parameters (Å, degrees): 14.9336 14.0943 5.3463 88.40 70.64 20.97
Last column: nearest neighbours and their distance in Å.
Fractional positions:
Li1 0.4851 0.7159 0.4903  5 Li 2.90-3.06, 4 Mg 3.01-3.17
Li2 0.3086 0.4903 0.7159  5 Li 2.90-3.06, 4 Mg 3.01-3.17
Mg1 0.3154 0.5820 0.2039  4 Mg 2.90-3.23, 6 Li 3.01-3.17
Mg2 0.0461 0.3513 0.9346  4 Mg 2.90-3.23, 6 Li 3.01-3.17
Li3 0.9921 0.0079 0.0079  4 Li 2.90-3.06, 4 Mg 3.05-3.07
Li4 0.2421 0.2579 0.2579  4 Li 2.90-3.06, 4 Mg 3.05-3.07
Mg3 0.6680 0.9346 0.3513  4 Mg 2.90-3.23, 6 Li 3.01-3.17
Mg4 0.8987 0.2039 0.5820  4 Mg 2.90-3.23, 6 Li 3.01-3.17
Li5 0.7597 0.9414 0.7649  5 Li 2.90-3.06, 4 Mg 3.01-3.17
Li6 0.5341 0.7649 0.9414  5 Li 2.90-3.06, 4 Mg 3.01-3.17

No. 10
Density functional theory data (PBE) for an optimized crystal structure of Cd8CuAu2.

Calculated total energy (eV/atom): -1.686
ΔE to the lowest computed polymorph (eV per formula unit): 0.166
Space-group type: C2/m, No. 12
Formation energy (eV per atom): -0.052

Lattice parameters (Å, degrees): 4.5533 6.5732 8.6385 108.83 105.28 90.00
Last column: nearest neighbours and their distance in Å.
Fractional positions:
Cd1 0.6574 0.9504 0.3148  1 Cu 2.75, 3 Au 2.94-2.96, 2 Cd 3.05
Cd2 0.4018 0.5764 0.8037  1 Cu 2.72, 2 Au 2.91, 2 Cd 3.01
Cd3 0.0195 0.7828 0.0390  2 Cu 2.76, 1 Au 2.90, 2 Cd 3.01
Cd4 0.2034 0.2779 0.4069  3 Au 2.88-2.97, 5 Cd 3.05-3.21
Au1 0.1780 0.6899 0.3561  9 Cd 2.88-2.97
Cd5 0.5982 0.4236 0.1963  1 Cu 2.72, 2 Au 2.91, 2 Cd 3.01
Cd6 0.9805 0.2172 0.9610  2 Cu 2.76, 1 Au 2.90, 2 Cd 3.01
Cd7 0.3426 0.0496 0.6852  1 Cu 2.75, 3 Au 2.94-2.96, 2 Cd 3.05
Cu1 0.5000 0.0000 0.0000  8 Cd 2.72-2.76
Cd8 0.7966 0.7221 0.5931  3 Au 2.88-2.97, 5 Cd 3.05-3.21
Au2 0.8220 0.3101 0.6439  9 Cd 2.88-2.97

No. 11
Density functional theory data (PBE) for an optimized crystal structure of LiErAl2Au4.

Calculated total energy (eV/atom): -4.021
Space-group type: R-3m, No. 166
Formation energy (eV per atom): -0.637

Lattice parameters (Å, degrees): 4.4624 4.4624 8.7087 75.15 75.15 60.00
Last column: nearest neighbours and their distance in Å.
Fractional positions:
Li1 0.5000 0.5000 0.5000  8 Au 2.64-2.72
Er1 0.0000 0.0000 0.0000  8 Au 2.99-3.29
Au1 0.1320 0.1320 0.6041  3 Li 2.72, 4 Al 2.73-2.76
Au2 0.3943 0.3943 0.8171  1 Li 2.64, 3 Al 2.69
Au3 0.6057 0.6057 0.1829  1 Li 2.64, 3 Al 2.69
Al1 0.7588 0.7588 0.7237  7 Au 2.69-2.76
Au4 0.8680 0.8680 0.3959  3 Li 2.72, 4 Al 2.73-2.76
Al2 0.2412 0.2412 0.2763  7 Au 2.69-2.76

No. 12
Density functional theory data (PBE) for an optimized crystal structure of TbTlAgPb.

Calculated total energy (eV/atom): -3.644
ΔE to the lowest computed polymorph (eV per formula unit): 0.000
Space-group type: Pmmm, No. 47
Formation energy (eV per atom): -0.255

Lattice parameters (Å, degrees): 4.4878 4.8389 4.6377 90.00 90.00 90.00
Last column: nearest neighbours and their distance in Å.
Fractional positions:
Tl1 0.5000 0.0000 0.5000  4 Ag 3.23, 4 Tb 3.30, 4 Pb 3.35
Pb1 0.5000 0.5000 0.0000  4 Tb 3.23, 4 Ag 3.30, 4 Tl 3.35
Tb1 0.0000 0.5000 0.5000  4 Pb 3.23, 4 Tl 3.30, 4 Ag 3.35
Ag1 0.0000 0.0000 0.0000  4 Tl 3.23, 4 Pb 3.30, 4 Tb 3.35

No. 13
Density functional theory data (PBE) for an optimized crystal structure of LaPOs.

Calculated total energy (eV/atom): -7.567
Space-group type: I4mm, No. 107
Formation energy (eV per atom): -0.378

Lattice parameters (Å, degrees): 6.2017 6.2018 3.1133 75.46 75.46 29.07
Last column: nearest neighbours and their distance in Å.
Fractional positions:
P1 0.7030 0.7030 0.2970  4 Os 2.45
Os1 0.2963 0.2963 0.7037  4 P 2.45
La1 0.0007 0.0007 0.9993  4 La 3.11, 5 P 3.22-3.45, 5 Os 3.23-3.43